Computed, not measured: a relaxed structure of Li2MnInN at the PBE level of DFT.

Lattice parameters (Å, degrees): 4.2579 4.2579 3.6502 90.00 90.00 90.00
Space group P4/mmm (No. 123)
One atom of each set of equivalent atoms:
Li 0.0000 0.5000 0.0000
Mn 0.0000 0.0000 0.5000
In 0.5000 0.5000 0.5000
N 0.0000 0.0000 0.0000

Calculated values
- energy relative to the elements, uncorrected (kJ per mole of atoms) = -26
- final energy (eV per atom) = -5.087
- mass density (Mg/m³) = 4.96
- Fermi-level density of states (states/eV per cell) = 2.68

---

Computed, not measured: a relaxed structure of Li2MnInN at the PBE level of DFT.

Lattice parameters (Å, degrees): 4.8459 4.8459 4.8596 90.00 90.00 90.00
Space group P4/mmm (No. 123)
One atom of each set of equivalent atoms:
Li 0.0000 0.5000 0.0000
Mn 0.0000 0.0000 0.5000
In 0.0000 0.0000 0.0000
N 0.5000 0.5000 0.5000

Calculated values
- energy relative to the elements, uncorrected (kJ per mole of atoms) = 184
- final energy (eV per atom) = -2.904
- mass density (Mg/m³) = 2.88
- Fermi-level density of states (states/eV per cell) = 8.41